SmEr5TmTh2 | PBE | optimized geometry

The value obtained for the energy of formation is 33 kJ per mole of atoms.

The space group is I4/mcm (No. 140) and the conventional cell measures 8.6679, 8.6679 and 15.4809 Å, with angles of 90.00, 90.00 and 90.00 degrees. The inequivalent atoms are Sm at (0.0000, 0.5000, 0.2500), Er at (0.0000, 0.0000, 0.0000), Er at (0.2100, 0.2900, 0.1407), Tm at (0.0000, 0.0000, 0.2500) and Th at (0.1197, 0.3803, 0.5000).

NaCeCd17 | PBE | optimized geometry

The value obtained for the energy of formation is -7 kJ per mole of atoms.

The space group is R3m (No. 160, hexagonal axes) and the conventional cell measures 10.1475, 10.1475 and 15.0742 Å, with angles of 90.00, 90.00 and 120.00 degrees. The inequivalent atoms are Na at (0.0000, 0.0000, 0.0000), Ce at (0.0000, 0.0000, 0.6746), Cd at (0.0000, 0.0000, 0.2417), Cd at (0.0000, 0.0000, 0.4448), Cd at (0.0009, 0.5005, 0.1947), Cd at (0.0077, 0.5039, 0.8409), Cd at (0.0266, 0.5133, 0.4907) and Cd at (0.0327, 0.3650, 0.0085).

Sc2Mo | PBE | optimized geometry

Its energy above the most stable polymorph in this dataset is 183 meV per atom. The value obtained for the energy of formation is 19 kJ per mole of atoms.

The space group is Cmcm (No. 63) and the conventional cell measures 3.6214, 14.0740 and 4.6814 Å, with angles of 90.00, 90.00 and 90.00 degrees. The inequivalent atoms are Sc at (0.0000, 0.0672, 0.2500), Sc at (0.0000, 0.2529, 0.7500) and Mo at (0.0000, 0.3995, 0.2500).

Ta2IrW | PBE | optimized geometry

Its energy above the most stable polymorph in this dataset is 122 meV per atom. The value obtained for the energy of formation is -20 kJ per mole of atoms.

The space group is C2/m (No. 12) and the conventional cell measures 5.6233, 8.9557 and 2.8055 Å, with angles of 90.00, 109.91 and 90.00 degrees. The inequivalent atoms are Ta at (0.2500, 0.2500, 0.0000), Ir at (0.0000, 0.0000, 0.5000) and W at (0.0000, 0.5000, 0.5000).

Li2UPN4 | PBE | optimized geometry

The calculation puts the raw formation energy at -418 meV/atom.

The space group is Cmcm (No. 63) and the conventional cell measures 3.2701, 10.6448 and 9.4137 Å, with angles of 90.00, 90.00 and 90.00 degrees. The inequivalent atoms are Li at (0.0000, 0.1108, 0.0390), U at (0.0000, 0.4339, 0.2500), P at (0.0000, 0.3019, 0.7500), N at (0.0000, 0.1142, 0.2500), N at (0.0000, 0.1978, 0.6259) and N at (0.0000, 0.5000, 0.0000).

NdSm2Sc | PBE | optimized geometry

Its energy above the most stable polymorph in this dataset is 17 meV per atom. The value obtained for the energy of formation is 5 kJ per mole of atoms.

The space group is R3m (No. 160, hexagonal axes) and the conventional cell measures 3.5699, 3.5699 and 34.5166 Å, with angles of 90.00, 90.00 and 120.00 degrees. The inequivalent atoms are Nd at (0.0000, 0.0000, 0.0000), Sm at (0.0000, 0.0000, 0.5792), Sm at (0.0000, 0.0000, 0.7549) and Sc at (0.0000, 0.0000, 0.1670).

PrThGaCu | PBE | optimized geometry

The value obtained for the energy of formation is -25 kJ per mole of atoms.

The space group is F-43m (No. 216) and the conventional cell measures 7.3192, 7.3192 and 7.3192 Å, with angles of 90.00, 90.00 and 90.00 degrees. The inequivalent atoms are Pr at (0.0000, 0.0000, 0.0000), Th at (0.0000, 0.0000, 0.5000), Ga at (0.2500, 0.2500, 0.7500) and Cu at (0.2500, 0.2500, 0.2500).

TbTm3Tl4Se8 | PBE | optimized geometry

The calculation puts the raw formation energy at -1378 meV/atom.

The space group is R-3m (No. 166, hexagonal axes) and the conventional cell measures 8.3034, 8.3034 and 23.3437 Å, with angles of 90.00, 90.00 and 120.00 degrees. The inequivalent atoms are Tb at (0.0000, 0.0000, 0.0000), Tm at (0.0000, 0.5000, 0.0000), Tl at (0.0000, 0.0000, 0.5000), Tl at (0.0000, 0.5000, 0.5000), Se at (0.0000, 0.0000, 0.2664) and Se at (0.0038, 0.5019, 0.2658).

Ca6TaO8 | PBE | optimized geometry

The calculation puts the raw formation energy at -2903 meV/atom.

The space group is Fm-3m (No. 225) and the conventional cell measures 9.5667, 9.5667 and 9.5667 Å, with angles of 90.00, 90.00 and 90.00 degrees. The inequivalent atoms are Ca at (0.0000, 0.2500, 0.2500), Ta at (0.0000, 0.0000, 0.0000), O at (0.0000, 0.0000, 0.2164) and O at (0.2500, 0.2500, 0.2500).

RbSr2I5 | PBE | optimized geometry

Its energy above the most stable polymorph in this dataset is 0 meV per atom. The calculation puts the raw formation energy at -1645 meV/atom.

The space group is P2_1/c (No. 14) and the conventional cell measures 10.2146, 9.1704 and 14.5960 Å, with angles of 90.00, 90.12 and 90.00 degrees. The inequivalent atoms are Rb at (0.0079, 0.0500, 0.3308), Sr at (0.2520, 0.5693, 0.4944), Sr at (0.4967, 0.5237, 0.1801), I at (0.0357, 0.1737, 0.0831), I at (0.2726, 0.6893, 0.7150), I at (0.2830, 0.1652, 0.8172), I at (0.2878, 0.5448, 0.9973) and I at (0.4606, 0.1607, 0.1001).

Pr8Dy | PBE | optimized geometry

The value obtained for the energy of formation is 1 kJ per mole of atoms.

The space group is I4/mmm (No. 139) and the conventional cell measures 11.0871, 11.0871 and 5.2307 Å, with angles of 90.00, 90.00 and 90.00 degrees. The inequivalent atoms are Pr at (0.0000, 0.3323, 0.0000), Pr at (0.1655, 0.1655, 0.5000) and Dy at (0.0000, 0.0000, 0.0000).

CoNi6Pt2 | PBE | optimized geometry

Its energy above the most stable polymorph in this dataset is 100 meV per atom. The value obtained for the energy of formation is 13 kJ per mole of atoms.

The space group is C2/m (No. 12) and the conventional cell measures 8.2991, 4.7904 and 5.6504 Å, with angles of 90.00, 90.13 and 90.00 degrees. The inequivalent atoms are Co at (0.0000, 0.0000, 0.0000), Ni at (0.0851, 0.2559, 0.6708), Ni at (0.1708, 0.0000, 0.3301) and Pt at (0.1668, 0.5000, 0.0933).

Pm2YPbC | PBE | optimized geometry

The value obtained for the energy of formation is -46 kJ per mole of atoms.

The space group is P4/mmm (No. 123) and the conventional cell measures 5.0941, 5.0941 and 4.9312 Å, with angles of 90.00, 90.00 and 90.00 degrees. The inequivalent atoms are Pm at (0.0000, 0.5000, 0.0000), Y at (0.0000, 0.0000, 0.5000), Pb at (0.5000, 0.5000, 0.5000) and C at (0.0000, 0.0000, 0.0000).

BaBi2S4 | PBE | optimized geometry

Its energy above the most stable polymorph in this dataset is 75 meV per atom. The calculation puts the raw formation energy at -823 meV/atom.

The space group is Cc (No. 9) and the conventional cell measures 8.8441, 13.2426 and 7.8913 Å, with angles of 90.00, 119.88 and 90.00 degrees. The inequivalent atoms are Ba at (0.0000, 0.1141, 0.0000), Bi at (0.0757, 0.4286, 0.9392), Bi at (0.2550, 0.1971, 0.7206), S at (0.0568, 0.3191, 0.2294), S at (0.2562, 0.0170, 0.8590), S at (0.2685, 0.4441, 0.7087) and S at (0.3405, 0.2665, 0.0691).

KIr2Os | PBE | optimized geometry

Its energy above the most stable polymorph in this dataset is 189 meV per atom. The value obtained for the energy of formation is 65 kJ per mole of atoms.

The space group is R3m (No. 160, hexagonal axes) and the conventional cell measures 2.7732, 2.7732 and 30.8176 Å, with angles of 90.00, 90.00 and 120.00 degrees. The inequivalent atoms are K at (0.0000, 0.0000, 0.0000), Ir at (0.0000, 0.0000, 0.2404), Ir at (0.0000, 0.0000, 0.5000) and Os at (0.0000, 0.0000, 0.7647).

Na2Cd4Ag | PBE | optimized geometry

Its energy above the most stable polymorph in this dataset is 0 meV per atom. The value obtained for the energy of formation is -3 kJ per mole of atoms.

The space group is P-1 (No. 2) and the conventional cell measures 5.6423, 5.7283 and 5.7628 Å, with angles of 119.09, 91.79 and 92.87 degrees. The inequivalent atoms are Na at (0.2393, 0.4735, 0.4775), Cd at (0.0019, 0.8350, 0.1604), Cd at (0.5000, 0.0000, 0.5000), Cd at (0.5000, 0.5000, 0.0000) and Ag at (0.5000, 0.0000, 0.0000).

YHfCd3 | PBE | optimized geometry

Its energy above the most stable polymorph in this dataset is 0 meV per atom. The value obtained for the energy of formation is 66 kJ per mole of atoms.

The space group is Pm-3m (No. 221) and the conventional cell measures 5.3588, 5.3588 and 5.3588 Å, with angles of 90.00, 90.00 and 90.00 degrees. The inequivalent atoms are Y at (0.0000, 0.0000, 0.0000), Hf at (0.5000, 0.5000, 0.5000) and Cd at (0.0000, 0.5000, 0.5000).

Mg2BeRu | PBE | optimized geometry

The value obtained for the energy of formation is 35 kJ per mole of atoms.

The space group is R-3m (No. 166, hexagonal axes) and the conventional cell measures 2.8471, 2.8471 and 26.4458 Å, with angles of 90.00, 90.00 and 120.00 degrees. The inequivalent atoms are Mg at (0.0000, 0.0000, 0.2503), Be at (0.0000, 0.0000, 0.5000) and Ru at (0.0000, 0.0000, 0.0000).

MgAs | PBE | optimized geometry

Its energy above the most stable polymorph in this dataset is 181 meV per atom. The value obtained for the energy of formation is -23 kJ per mole of atoms.

The space group is I4/m (No. 87) and the conventional cell measures 12.0911, 12.0911 and 3.0155 Å, with angles of 90.00, 90.00 and 90.00 degrees. The inequivalent atoms are Mg at (0.1163, 0.7257, 0.0000) and As at (0.0971, 0.2485, 0.0000).

CdRh3Cl | PBE | optimized geometry

Its energy above the most stable polymorph in this dataset is 1114 meV per atom. The calculation puts the raw formation energy at 1632 meV/atom.

The space group is Pm-3m (No. 221) and the conventional cell measures 5.0163, 5.0163 and 5.0163 Å, with angles of 90.00, 90.00 and 90.00 degrees. The inequivalent atoms are Cd at (0.0000, 0.0000, 0.0000), Rh at (0.0000, 0.0000, 0.5000) and Cl at (0.5000, 0.5000, 0.5000).

no.,theoretical density (g cm⁻³),calculated volume (Å³/cell)
1,9.2,1163
2,7.7,1344
3,5.2,239
4,18.4,133
5,6.9,328
6,6.4,381
7,8.6,392
8,7.6,1394
9,4.2,876
10,4.3,1367
11,6.7,643
12,11.8,225
13,7.8,128
14,5.7,801
15,14.9,205
16,6.2,162
17,6.5,154
18,4.3,186
19,3.0,441
20,6.0,126